No. 1
The following is a GGA-PBE calculation of a geometry-optimized HfReOs2Rh structure, from Alexandria via LeMat-Bulk.

Cell: 4.6593 4.6593 4.6151 Å, 90.00 90.00 90.00°
With the nearest neighbours (Å) after each atom.
Space group P4/mmm (No. 123)
Asymmetric unit:
Hf1 0.0000 0.0000 0.0000 [1 per cell]  8 Os 3.28, 4 Re 3.29
Re1 0.5000 0.5000 0.0000 [1 per cell]  2 Rh 2.31
Os1 0.0000 0.5000 0.5000 [2 per cell]  2 Rh 2.33
Rh1 0.5000 0.5000 0.5000 [1 per cell]  2 Re 2.31, 4 Os 2.33

Output
As for the total moment: 0.0 μB/f.u. The formation enthalpy at 0 K is 176.8 kJ/mol of atoms.

=====

No. 2
The following is a GGA-PBE calculation of a geometry-optimized HfRe2TcOs structure, from Alexandria via LeMat-Bulk.

Cell: 4.6675 4.6675 4.8742 Å, 90.00 90.00 90.00°
With the nearest neighbours (Å) after each atom.
Space group P4/mmm (No. 123)
Asymmetric unit:
Hf1 0.0000 0.0000 0.0000 [1 per cell]  2 Os 2.44
Re1 0.0000 0.5000 0.5000 [2 per cell]  2 Os 2.33
Tc1 0.5000 0.5000 0.0000 [1 per cell]  4 Hf 3.30, 8 Re 3.37
Os1 0.0000 0.0000 0.5000 [1 per cell]  4 Re 2.33, 2 Hf 2.44

Output
As for the total moment: 1.9 μB/f.u. The formation enthalpy at 0 K is 170.9 kJ/mol of atoms.

=====

No. 3
The following is a GGA-PBE calculation of a geometry-optimized HfTlRe2Os structure, from Alexandria via LeMat-Bulk.

Cell: 4.7681 4.7681 4.9635 Å, 90.00 90.00 90.00°
With the nearest neighbours (Å) after each atom.
Space group P4/mmm (No. 123)
Asymmetric unit:
Hf1 0.0000 0.0000 0.0000 [1 per cell]  4 Tl 3.37, 8 Re 3.44
Tl1 0.5000 0.5000 0.0000 [1 per cell]  2 Os 2.48
Re1 0.0000 0.5000 0.5000 [2 per cell]  2 Os 2.38
Os1 0.5000 0.5000 0.5000 [1 per cell]  4 Re 2.38, 2 Tl 2.48

Output
As for the total moment: 0.0 μB/f.u. The formation enthalpy at 0 K is 162.7 kJ/mol of atoms.

=====

No. 4
The following is a GGA-PBE calculation of a geometry-optimized Hf2ReOsW structure, from Alexandria via LeMat-Bulk.

Cell: 4.9155 4.9155 4.6071 Å, 90.00 90.00 90.00°
With the nearest neighbours (Å) after each atom.
Space group P4/mmm (No. 123)
Asymmetric unit:
Hf1 0.0000 0.5000 0.0000 [2 per cell]  2 W 2.46
Re1 0.0000 0.0000 0.5000 [1 per cell]  8 Hf 3.37, 4 Os 3.48
Os1 0.5000 0.5000 0.5000 [1 per cell]  2 W 2.30
W1 0.5000 0.5000 0.0000 [1 per cell]  2 Os 2.30, 4 Hf 2.46

Output
As for the total moment: 0.9 μB/f.u. The formation enthalpy at 0 K is 168.9 kJ/mol of atoms.

=====

No. 5
The following is a GGA-PBE calculation of a geometry-optimized HfReOsW2 structure, from Alexandria via LeMat-Bulk.

Cell: 4.6880 4.6880 4.6104 Å, 90.00 90.00 90.00°
With the nearest neighbours (Å) after each atom.
Space group P4/mmm (No. 123)
Asymmetric unit:
Hf1 0.0000 0.0000 0.0000 [1 per cell]  2 Re 2.31, 4 W 2.34
Re1 0.0000 0.0000 0.5000 [1 per cell]  2 Hf 2.31
Os1 0.5000 0.5000 0.5000 [1 per cell]  8 W 3.29, 4 Re 3.31
W1 0.0000 0.5000 0.0000 [2 per cell]  2 Hf 2.34

Output
As for the total moment: 0.0 μB/f.u. The formation enthalpy at 0 K is 275.4 kJ/mol of atoms.

=====

No. 6
The following is a GGA-PBE calculation of a geometry-optimized HfZrReOs structure, from Alexandria via LeMat-Bulk.

Cell: 6.5516 6.5516 6.5516 Å, 90.00 90.00 90.00°
With the nearest neighbours (Å) after each atom.
Space group F-43m (No. 216)
Asymmetric unit:
Hf1 0.0000 0.0000 0.0000 [4 per cell]  4 Re 2.84, 4 Os 2.84
Zr1 0.0000 0.0000 0.5000 [4 per cell]  4 Os 2.84, 4 Re 2.84
Re1 0.2500 0.2500 0.7500 [4 per cell]  4 Zr 2.84, 4 Hf 2.84
Os1 0.2500 0.2500 0.2500 [4 per cell]  4 Hf 2.84, 4 Zr 2.84

Output
As for the total moment: 0.0 μB/f.u. The formation enthalpy at 0 K is -43.0 kJ/mol of atoms.

=====

What is the formation enthalpy at 0 K in the third record? 162.7 kJ/mol of atoms

=====

What is the formula in the second record? HfRe2TcOs

=====

Which of these has the highest total moment? HfRe2TcOs